(1)
First-principles (PBE-GGA) data for a geometry-optimized LaAgPb structure, as listed in Alexandria.

```
data_LaAgPb
_chemical_formula_sum 'La2 Ag2 Pb2'
_space_group_name_H-M_alt 'P 63 m c'
_space_group_IT_number 186
_space_group_name_Hall 'P 6c -2c'
_cell_length_a 4.9459
_cell_length_b 4.9459
_cell_length_c 7.8924
_cell_angle_alpha 90.00
_cell_angle_beta 90.00
_cell_angle_gamma 120.00
loop_
_atom_site_label
_atom_site_type_symbol
_atom_site_fract_x
_atom_site_fract_y
_atom_site_fract_z
_atom_site_occupancy
La1 La 0.0000 0.0000 0.0000 1
Ag1 Ag 0.3333 0.6667 0.1975 1
Pb1 Pb 0.3333 0.6667 0.7826 1
```

Computed properties:
- theoretical density (Mg/m³) = 9.0
- ΔH_f (0 K) (meV/atom) = -502

=====

(2)
First-principles (PBE-GGA) data for a geometry-optimized Na2BiSbF structure, as listed in Alexandria.

```
data_Na2BiSbF
_chemical_formula_sum 'Na2 Bi1 Sb1 F1'
_space_group_name_H-M_alt 'P 4/m m m'
_space_group_IT_number 123
_space_group_name_Hall '-P 4 2'
_cell_length_a 4.5912
_cell_length_b 4.5912
_cell_length_c 5.6608
_cell_angle_alpha 90.00
_cell_angle_beta 90.00
_cell_angle_gamma 90.00
loop_
_atom_site_label
_atom_site_type_symbol
_atom_site_fract_x
_atom_site_fract_y
_atom_site_fract_z
_atom_site_occupancy
Na1 Na 0.0000 0.5000 0.0000 1
Bi1 Bi 0.0000 0.0000 0.5000 1
Sb1 Sb 0.5000 0.5000 0.5000 1
F1 F 0.0000 0.0000 0.0000 1
```

Computed properties:
- formation energy without anion corrections (eV per atom) = -1.015
- theoretical density (Mg/m³) = 5.5

=====

(3)
First-principles (PBE-GGA) data for a geometry-optimized BSbI2Br structure, as listed in Alexandria.

```
data_BSbI2Br
_chemical_formula_sum 'B1 Sb1 I2 Br1'
_space_group_name_H-M_alt 'P 4/m m m'
_space_group_IT_number 123
_space_group_name_Hall '-P 4 2'
_cell_length_a 5.8723
_cell_length_b 5.8723
_cell_length_c 5.8184
_cell_angle_alpha 90.00
_cell_angle_beta 90.00
_cell_angle_gamma 90.00
loop_
_atom_site_label
_atom_site_type_symbol
_atom_site_fract_x
_atom_site_fract_y
_atom_site_fract_z
_atom_site_occupancy
B1 B 0.0000 0.0000 0.0000 1
Sb1 Sb 0.5000 0.5000 0.0000 1
I1 I 0.0000 0.5000 0.5000 1
Br1 Br 0.5000 0.5000 0.5000 1
```

Computed properties:
- formation energy without anion corrections (eV per atom) = 1.535
- theoretical density (Mg/m³) = 3.9
- offset from the most stable computed form (kcal/mol of atoms) = 19.29